1.
Computed, not measured: an optimized crystal structure of MgPtS at the GGA-PBE level of DFT.

The structure belongs to space group P6_3/mmc (No. 194); the cell edges are 4.1131, 4.1131 and 7.1784 Å and the angles 90.00°, 90.00° and 120.00°. The distinct sites, in fractional coordinates, are Mg at (0.0000, 0.0000, 0.0000), Pt at (0.3333, 0.6667, 0.2500) and S at (0.3333, 0.6667, 0.7500).

The calculation puts the uncorrected formation energy at -0.48 eV/atom. The value obtained for the total DFT energy (no corrections) is -4.4005 eV per atom. For the volume, the calculation gives 105.2 Å³/cell.

2.
Computed, not measured: an optimized crystal structure of MgTiPtS2 at the GGA-PBE level of DFT.

The structure belongs to space group P4/mmm (No. 123); the cell edges are 4.626, 4.626 and 4.885 Å and the angles 90.00°, 90.00° and 90.00°. The distinct sites, in fractional coordinates, are Mg at (0.000, 0.000, 0.000), Ti at (0.500, 0.500, 0.500), Pt at (0.500, 0.500, 0.000) and S at (0.000, 0.500, 0.500).

The calculation puts the uncorrected formation energy at -0.40 eV/atom. The value obtained for the total DFT energy (no corrections) is -5.1600 eV per atom. For the volume, the calculation gives 104.5 Å³/cell.

3.
Computed, not measured: an optimized crystal structure of MgPt2WS at the GGA-PBE level of DFT.

The structure belongs to space group P4/mmm (No. 123); the cell edges are 4.970, 4.970 and 4.486 Å and the angles 90.00°, 90.00° and 90.00°. The distinct sites, in fractional coordinates, are Mg at (0.000, 0.000, 0.000), Pt at (0.000, 0.500, 0.500), W at (0.500, 0.500, 0.500) and S at (0.500, 0.500, 0.000).

The calculation puts the uncorrected formation energy at 0.33 eV/atom. The value obtained for the total DFT energy (no corrections) is -5.8223 eV per atom. For the volume, the calculation gives 110.8 Å³/cell.